LaZnGeI: optimized geometry, PBE.

E (eV per atom): -3.96
SG: R-3m, No. 166
Raw formation energy (eV per atom): -0.869

Cell: 4.382 4.382 15.085 Å, 81.65 81.65 60.00°
Positions (direct):
Ge 0.630 0.630 0.111
Ge 0.370 0.370 0.889
I 0.789 0.789 0.634
I 0.211 0.211 0.366
Zn 0.311 0.311 0.068
Zn 0.689 0.689 0.932
La 0.074 0.074 0.777
La 0.926 0.926 0.223



La8ZnGe3I4: optimized geometry, PBE.

E (eV per atom): -4.76
SG: R-3m, No. 166
Raw formation energy (eV per atom): -0.968

Cell: 8.966 9.240 8.966 Å, 119.02 120.00 90.00°
Positions (direct):
La 0.238 0.710 0.972
La 0.735 0.706 0.470
La 0.266 0.290 0.028
La 0.265 0.294 0.530
La 0.238 0.710 0.477
La 0.762 0.290 0.523
La 0.734 0.710 0.972
La 0.762 0.290 0.028
Ge 0.500 0.500 0.000
Ge 0.500 0.500 0.500
Ge 0.000 0.500 0.500
I 0.500 0.000 0.000
I 0.500 0.000 0.500
I 0.000 0.000 0.500
I 0.000 0.000 0.000
Zn 0.000 0.500 0.000



La6ZnGe2I3: optimized geometry, PBE.

E (eV per atom): -4.65
SG: C2/m, No. 12
Raw formation energy (eV per atom): -0.922

Cell: 7.781 7.781 8.034 Å, 99.30 99.30 120.04°
Positions (direct):
La 0.268 0.268 0.788
La 0.732 0.732 0.212
La 0.070 0.408 0.212
La 0.408 0.070 0.212
La 0.592 0.930 0.788
La 0.930 0.592 0.788
I 0.500 0.500 0.500
I 0.167 0.833 0.500
I 0.833 0.167 0.500
Zn 0.000 0.000 0.000
Ge 0.666 0.334 0.000
Ge 0.334 0.666 0.000



Li3GeI: optimized geometry, PBE.

E (eV per atom): -2.41
Polymorph energy (0 for the lowest one) (eV per atom): 0.1141
SG: Pm-3m, No. 221
Raw formation energy (eV per atom): -0.031

Cell: 5.121 5.121 5.121 Å, 90.00 90.00 90.00°
Positions (direct):
Ge 0.500 0.500 0.500
Li 0.000 0.500 0.000
Li 0.500 0.000 0.000
Li 0.000 0.000 0.500
I 0.000 0.000 0.000